The following is a DFT calculation (PBE) of a geometry-optimized Ca2CuSi4Pt3 structure.

Summary:
Calculated volume = 175 Å³/cell
E_form (uncorrected) = -0.831 eV per atom

Cell: 4.179 4.179 10.019 Å, 90.00 90.00 90.00°
Fractional coordinates of all 10 atoms:
Ca (0.000, 0.500, 0.249)
Ca (0.500, 0.000, 0.751)
Cu (0.500, 0.500, 0.000)
Si (0.000, 0.000, 0.500)
Si (0.000, 0.500, 0.871)
Si (0.500, 0.000, 0.129)
Si (0.500, 0.500, 0.500)
Pt (0.000, 0.000, 0.000)
Pt (0.000, 0.500, 0.627)
Pt (0.500, 0.000, 0.373)

***

The following is a DFT calculation (PBE) of a geometry-optimized LaPrWN4 structure.

Summary:
Calculated volume = 101 Å³/cell
E_form (uncorrected) = -1.084 eV per atom

Cell: 6.953 6.953 6.953 Å, 146.65 146.65 47.89°
Fractional coordinates of all 7 atoms:
La (0.000, 0.000, 0.000)
Pr (0.709, 0.709, 0.000)
W (0.355, 0.355, 0.000)
N (0.188, 0.188, 0.000)
N (0.352, 0.852, 0.500)
N (0.516, 0.516, 0.000)
N (0.852, 0.352, 0.500)

***

The following is a DFT calculation (PBE) of a geometry-optimized NaLi2Zn structure.

Summary:
Calculated volume = 86 Å³/cell
ΔH_f (0 K) = 44 meV per atom

Cell: 10.488 10.488 10.488 Å, 17.01 17.01 17.01°
Fractional coordinates of all 4 atoms:
Na (0.000, 0.000, 0.000)
Li (0.099, 0.099, 0.099)
Li (0.901, 0.901, 0.901)
Zn (0.500, 0.500, 0.500)

***

The following is a DFT calculation (PBE) of a geometry-optimized SmTm4Mg2 structure.

Summary:
Distance to the lowest polymorph of the same formula = 0.000 eV per atom
Calculated volume = 207 Å³/cell
ΔH_f (0 K) = 40 meV per atom

Cell: 17.310 17.310 3.442 Å, 90.00 90.00 168.44°
Fractional coordinates of all 7 atoms:
Sm (0.000, 0.000, 0.000)
Tm (0.146, 0.854, 0.000)
Tm (0.425, 0.575, 0.500)
Tm (0.575, 0.425, 0.500)
Tm (0.854, 0.146, 0.000)
Mg (0.287, 0.713, 0.500)
Mg (0.713, 0.287, 0.500)

***

The following is a DFT calculation (PBE) of a geometry-optimized Tb3YTe3 structure.

Summary:
Distance to the lowest polymorph of the same formula = 0.067 eV per atom
Calculated volume = 417 Å³/cell
E_form (uncorrected) = -1.034 eV per atom

Cell: 7.890 7.890 7.890 Å, 69.57 69.57 69.57°
Fractional coordinates of all 14 atoms:
Tb (0.166, 0.422, 0.656)
Tb (0.344, 0.834, 0.578)
Tb (0.422, 0.656, 0.166)
Tb (0.578, 0.344, 0.834)
Tb (0.656, 0.166, 0.422)
Tb (0.834, 0.578, 0.344)
Y (0.188, 0.188, 0.188)
Y (0.812, 0.812, 0.812)
Te (0.037, 0.820, 0.399)
Te (0.180, 0.601, 0.963)
Te (0.399, 0.037, 0.820)
Te (0.601, 0.963, 0.180)
Te (0.820, 0.399, 0.037)
Te (0.963, 0.180, 0.601)

***

The following is a DFT calculation (PBE) of a geometry-optimized ZrRu2N structure.

Summary:
Calculated volume = 117 Å³/cell
E_form (uncorrected) = -0.172 eV per atom

Cell: 5.448 5.448 5.448 Å, 101.98 101.98 125.79°
Fractional coordinates of all 8 atoms:
Zr (0.000, 0.000, 0.000)
Zr (0.750, 0.250, 0.500)
Ru (0.256, 0.625, 0.131)
Ru (0.375, 0.506, 0.631)
Ru (0.494, 0.125, 0.869)
Ru (0.875, 0.744, 0.369)
N (0.250, 0.750, 0.500)
N (0.500, 0.500, 0.000)

***

Number 1: raw total energy -56.2 eV for the cell shown, magnetic moment 0.00 Bohr magnetons per cell. Number 2: raw total energy -63.6 eV for the cell shown, magnetic moment 0.00 Bohr magnetons per cell. Number 3: raw total energy -6.2 eV for the cell shown, magnetic moment 0.00 Bohr magnetons per cell. Number 4: raw total energy -25.5 eV for the cell shown, magnetic moment 0.00 Bohr magnetons per cell. Number 5: raw total energy -74.0 eV for the cell shown, magnetic moment 0.00 Bohr magnetons per cell. Number 6: raw total energy -72.2 eV for the cell shown, magnetic moment 0.00 Bohr magnetons per cell.